No. 1
The following is a GGA-PBEsol calculation of crystalline Cu3PSe4 at its relaxed geometry, from Alexandria via LeMat-Bulk.

Values from the calculation:
- SG: Pmn2_1 (31)
- Crystal system: orthorhombic
- ΔE_f (raw): -0.1324 eV per atom

Structure (POSCAR):
```
Cu3PSe4
1.0
-0.8809 -6.2580 0.3617
6.5194 -0.8784 0.6796
-0.7163 0.5382 7.5666
P Se Cu
2 8 6
direct
0.0004 0.6719 0.5000
0.5004 0.3281 0.0000
0.1265 0.3507 0.5000
0.1185 0.8379 0.7455
0.6397 0.6791 0.5000
0.1397 0.3209 0.0000
0.6185 0.1621 0.2455
0.6185 0.1621 0.7545
0.1185 0.8379 0.2545
0.6265 0.6493 0.0000
0.9903 0.1762 0.2538
0.9903 0.1762 0.7462
0.5025 0.3461 0.5000
0.4903 0.8238 0.2462
0.0025 0.6539 0.0000
0.4903 0.8238 0.7538
```

***

No. 2
The following is a GGA-PBEsol calculation of crystalline Bi2O3 at its relaxed geometry, from Alexandria via LeMat-Bulk.

Values from the calculation:
- SG: P-3m1 (164)
- Crystal system: trigonal
- ΔE_f (raw): -1.1909 eV per atom

Structure (POSCAR):
```
Bi2O3
1.0
-0.8663 -1.0553 3.5936
-2.6649 -0.2164 -2.7622
1.7035 -5.5219 -1.2109
O Bi
3 2
direct
0.6667 0.3333 0.3677
0.3333 0.6667 0.6323
0.0000 0.0000 0.0000
0.6667 0.3333 0.7584
0.3333 0.6667 0.2416
```

***

No. 3
The following is a GGA-PBEsol calculation of crystalline Y2C at its relaxed geometry, from Alexandria via LeMat-Bulk.

Values from the calculation:
- SG: P-3m1 (164)
- Crystal system: trigonal
- ΔH_f (0 K): -0.3066 eV/atom

Structure (POSCAR):
```
Y2C
1.0
3.5424 0.0000 0.0000
-1.7712 3.0678 0.0000
0.0000 0.0000 6.1899
C Y
1 2
direct
0.0000 0.0000 0.0000
0.6667 0.3333 0.7836
0.3333 0.6667 0.2164
```

***

No. 4
The following is a GGA-PBEsol calculation of crystalline YInSnHg2 at its relaxed geometry, from Alexandria via LeMat-Bulk.

Values from the calculation:
- SG: P4/mmm (123)
- Crystal system: tetragonal
- ΔH_f (0 K): 0.3575 eV/atom

Structure (POSCAR):
```
YInSnHg2
1.0
5.3486 0.0000 0.0000
0.0000 5.3486 0.0000
0.0000 0.0000 5.4126
Sn Hg In Y
1 2 1 1
direct
0.0000 0.0000 0.0000
0.5000 0.0000 0.0000
0.0000 0.5000 0.0000
0.0000 0.0000 0.5000
0.5000 0.5000 0.5000
```

***

no.,density (g/cm3)
1,5.60
2,10.24
3,4.69
4,7.76